No. 1
This record from Alexandria via LeMat-Bulk describes a PBEsol-optimized structure of ScMo2P. The functional is SCAN.

Values from the calculation:
total moment	0.00	μB/f.u.
electronic total energy	-23.693	eV per atom

a = 2.870 Å, b = 2.870 Å, c = 8.113 Å
α = 90.00°, β = 90.00°, γ = 110.20°
Fractional positions:
Mo: 0.500 0.500 0.733
Mo: 0.000 0.000 0.988
Sc: 0.500 0.500 0.270
P: 0.000 0.000 0.510



No. 2
This record from Alexandria via LeMat-Bulk describes a PBEsol-optimized structure of RbTl2CrMo. The functional is SCAN.

Values from the calculation:
total moment	2.35	μB/f.u.
electronic total energy	-43.248	eV per atom

a = 4.582 Å, b = 5.493 Å, c = 5.493 Å
α = 90.00°, β = 90.00°, γ = 90.00°
Each line ends with the local moment (μB).
Fractional positions:
Rb: 0.500 0.500 0.500  0.02
Mo: 0.000 0.000 0.000  -1.33
Tl: 0.000 0.500 0.000  -0.01
Tl: 0.000 0.000 0.500  -0.01
Cr: 0.500 0.000 0.000  3.23



No. 3
This record from Alexandria via LeMat-Bulk describes a PBEsol-optimized structure of YSi2Hg. The functional is SCAN.

Values from the calculation:
total moment	0.00	μB/f.u.
electronic total energy	-29.022	eV per atom
raw formation energy	-0.0122	eV per atom

a = 3.626 Å, b = 3.626 Å, c = 6.108 Å
α = 90.00°, β = 90.00°, γ = 90.00°
Fractional positions:
Hg: 0.500 0.500 0.500
Y: 0.500 0.500 0.000
Si: 0.000 0.000 0.704
Si: 0.000 0.000 0.296



No. 4
This record from Alexandria via LeMat-Bulk describes a PBEsol-optimized structure of TiFeSb2I. The functional is SCAN.

Values from the calculation:
total moment	4.10	μB/f.u.
electronic total energy	-28.401	eV per atom
raw formation energy	0.6830	eV per atom

a = 5.206 Å, b = 5.206 Å, c = 5.303 Å
α = 90.00°, β = 90.00°, γ = 90.00°
Each line ends with the local moment (μB).
Fractional positions:
I: 0.000 0.000 0.500  0.04
Fe: 0.500 0.500 0.500  3.44
Sb: 0.500 0.000 0.000  -0.01
Sb: 0.000 0.500 0.000  -0.01
Ti: 0.000 0.000 0.000  0.24



No. 5
This record from Alexandria via LeMat-Bulk describes a PBEsol-optimized structure of TlFeTc2. The functional is SCAN.

Values from the calculation:
total moment	0.96	μB/f.u.
electronic total energy	-39.593	eV per atom

a = 3.779 Å, b = 3.779 Å, c = 4.926 Å
α = 112.55°, β = 112.55°, γ = 90.00°
Each line ends with the local moment (μB).
Fractional positions:
Tc: 0.250 0.750 0.500  -0.83
Tc: 0.750 0.250 0.500  -0.83
Tl: 0.500 0.500 0.000  -0.02
Fe: 0.000 0.000 0.000  2.71



No. 6
This record from Alexandria via LeMat-Bulk describes a PBEsol-optimized structure of Tm2Ga8Co. The functional is SCAN.

Values from the calculation:
total moment	0.00	μB/f.u.
electronic total energy	-23.420	eV per atom

a = 4.136 Å, b = 4.136 Å, c = 10.850 Å
α = 90.00°, β = 90.00°, γ = 90.00°
Fractional positions:
Ga: 0.500 0.000 0.500
Ga: 0.000 0.500 0.500
Ga: 0.500 0.500 0.306
Ga: 0.500 0.000 0.118
Ga: 0.500 0.000 0.882
Ga: 0.000 0.500 0.882
Ga: 0.000 0.500 0.118
Ga: 0.500 0.500 0.694
Tm: 0.000 0.000 0.693
Tm: 0.000 0.000 0.307
Co: 0.000 0.000 0.000



No. 7
This record from Alexandria via LeMat-Bulk describes a PBEsol-optimized structure of InReBi2. The functional is SCAN.

Values from the calculation:
total moment	0.00	μB/f.u.
electronic total energy	-64.482	eV per atom

a = 6.463 Å, b = 6.463 Å, c = 7.986 Å
α = 113.87°, β = 113.87°, γ = 90.00°
Fractional positions:
Re: 0.250 0.750 0.500
Re: 0.000 0.000 0.000
In: 0.750 0.250 0.500
In: 0.500 0.500 0.000
Bi: 0.125 0.070 0.750
Bi: 0.625 0.680 0.750
Bi: 0.930 0.375 0.250
Bi: 0.320 0.875 0.250



No. 8
This record from Alexandria via LeMat-Bulk describes a PBEsol-optimized structure of Sc2FeP. The functional is SCAN.

Values from the calculation:
total moment	1.82	μB/f.u.
electronic total energy	-14.741	eV per atom

a = 3.716 Å, b = 3.716 Å, c = 5.197 Å
α = 110.95°, β = 110.95°, γ = 90.00°
Each line ends with the local moment (μB).
Fractional positions:
P: 0.250 0.750 0.500  0.03
Sc: 0.750 0.250 0.500  -0.15
Sc: 0.000 0.000 0.000  -0.21
Fe: 0.500 0.500 0.000  2.24



Question: Look up the total moment of the first one.
Answer: 0.00 μB/f.u.



Copy entry 1 word for word.
This record from Alexandria via LeMat-Bulk describes a PBEsol-optimized structure of ScMo2P. The functional is SCAN.

Values from the calculation:
total moment	0.00	μB/f.u.
electronic total energy	-23.693	eV per atom

a = 2.870 Å, b = 2.870 Å, c = 8.113 Å
α = 90.00°, β = 90.00°, γ = 110.20°
Fractional positions:
Mo: 0.500 0.500 0.733
Mo: 0.000 0.000 0.988
Sc: 0.500 0.500 0.270
P: 0.000 0.000 0.510